Entry 1:
The following is a PBE calculation of crystalline Dy10Al4Ge11 at its relaxed geometry, from Alexandria.

Cell lengths 5.668, 5.668, 25.103 Å; angles 98.00, 98.00, 42.43 degrees
Fractional positions:
Dy: 0.018 0.018 0.157
Dy: 0.153 0.153 0.443
Dy: 0.240 0.240 0.759
Dy: 0.371 0.371 0.042
Dy: 0.408 0.408 0.356
Dy: 0.592 0.592 0.644
Dy: 0.629 0.629 0.958
Dy: 0.760 0.760 0.241
Dy: 0.847 0.847 0.557
Dy: 0.982 0.982 0.843
Al: 0.085 0.085 0.297
Al: 0.306 0.306 0.900
Al: 0.694 0.694 0.100
Al: 0.915 0.915 0.703
Ge: 0.084 0.084 0.043
Ge: 0.135 0.135 0.561
Ge: 0.304 0.304 0.156
Ge: 0.308 0.308 0.646
Ge: 0.472 0.472 0.242
Ge: 0.500 0.500 0.500
Ge: 0.528 0.528 0.758
Ge: 0.692 0.692 0.354
Ge: 0.696 0.696 0.844
Ge: 0.865 0.865 0.439
Ge: 0.916 0.916 0.957

Output
Uncorrected energy   -130.297 eV/cell
Magnetic moment   0.000 Bohr magnetons per cell
E_form   -0.74 eV per atom
ρ   7.8 Mg/m³
DOS(E_F)   0.4815 states/eV per atom
Volume   21.52 Å³ per atom
Symmetry   C2/m



Entry 2:
The following is a PBE calculation of crystalline CaPtRhCl2 at its relaxed geometry, from Alexandria.

Cell lengths 4.969, 4.969, 5.781 Å; angles 90.00, 90.00, 90.00 degrees
Fractional positions:
Ca: 0.000 0.000 0.000
Pt: 0.500 0.500 0.500
Rh: 0.000 0.000 0.500
Cl: 0.000 0.500 0.000
Cl: 0.500 0.000 0.000

Output
Uncorrected energy   -16.972 eV/cell
Magnetic moment   2.151 Bohr magnetons per cell
ρ   4.8 Mg/m³
DOS(E_F)   1.9624 states/eV per atom
Volume   28.54 Å³ per atom
Energy relative to the elements, uncorrected   0.423 eV per atom
Symmetry   P4/mmm